[1]
The following is a PBE+U calculation of crystalline CoSnO at its relaxed geometry, from Alexandria.

a = 3.373 Å, b = 3.264 Å, c = 5.570 Å
α = 72.88°, β = 90.74°, γ = 60.17°
Site moments in Bohr magnetons follow the coordinates.
Sites, in units of the cell vectors:
Co  0.931  0.696  0.464  2.52
Sn  0.420  0.723  0.924  0.01
O  0.547  0.449  0.352  0.11

Output
Total magnetic moment in μB/atom: 0.889
Symmetry: No. 1
Calculated total energy in eV/atom: -5.147
N(E_F) in states/eV per cell: 0.97

***

[2]
The following is a PBE+U calculation of crystalline Co5SnO12 at its relaxed geometry, from Alexandria.

a = 5.056 Å, b = 5.056 Å, c = 10.043 Å
α = 89.86°, β = 89.86°, γ = 120.06°
Site moments in Bohr magnetons follow the coordinates.
Sites, in units of the cell vectors:
Co  0.833  0.167  0.500  1.28
Co  0.333  0.667  0.000  1.14
Co  0.667  0.333  0.000  1.14
Co  0.167  0.833  0.500  1.28
Co  0.500  0.500  0.500  1.28
Sn  0.000  0.000  0.000  0.01
O  0.001  0.361  0.902  -0.05
O  0.639  0.999  0.098  -0.05
O  0.832  0.499  0.590  -0.13
O  0.499  0.832  0.590  -0.13
O  0.501  0.168  0.410  -0.13
O  0.834  0.834  0.410  -0.14
O  0.168  0.501  0.410  -0.13
O  0.361  0.001  0.902  -0.05
O  0.641  0.641  0.901  -0.05
O  0.999  0.639  0.098  -0.05
O  0.359  0.359  0.099  -0.05
O  0.166  0.166  0.590  -0.14

Output
Total magnetic moment in μB/atom: 0.274
Symmetry: No. 12
Calculated total energy in eV/atom: -5.719

***

[3]
The following is a PBE+U calculation of crystalline CoSn3O at its relaxed geometry, from Alexandria.

a = 4.773 Å, b = 4.773 Å, c = 4.773 Å
α = 90.00°, β = 90.00°, γ = 90.00°
Site moments in Bohr magnetons follow the coordinates.
Sites, in units of the cell vectors:
Co  0.000  0.000  0.000  0.60
Sn  0.000  0.500  0.000  0.02
Sn  0.000  0.000  0.500  0.02
Sn  0.500  0.000  0.000  0.00
O  0.500  0.500  0.500  -0.07

Output
Total magnetic moment in μB/atom: 0.132
Symmetry: No. 221
Calculated total energy in eV/atom: -4.107
N(E_F) in states/eV per cell: 1.98

***

Q: Look up the total magnetic moment of the second one.
A: 0.274 μB/atom